1.
CaSi2As2 | GGA-PBE | relaxed

a b c (Å): 4.9850 4.9850 5.4523
angles (deg): 62.80 62.80 90.00
With the nearest neighbours (Å) after each atom.
Sites, in units of the cell vectors:
Si  0.3513  0.3513  0.2974  1 Si 2.47, 4 As 2.63
Si  0.6487  0.6487  0.7026  1 Si 2.47, 4 As 2.63
Ca  0.0000  0.0000  0.0000  2 Si 2.92, 8 As 3.25
As  0.2500  0.7500  0.5000  4 Si 2.63
As  0.7500  0.2500  0.5000  4 Si 2.63

Computed properties:
SG: No. 139
M_tot in μB per formula unit: 0.000
DFT total energy in eV/atom: -4.654
DOS(E_F) in states/eV/f.u.: 1.196

2.
Ac4PmAu5 | GGA-PBE | relaxed

a b c (Å): 3.8541 3.8541 19.4597
angles (deg): 90.00 90.00 90.00
With the nearest neighbours (Å) after each atom.
Sites, in units of the cell vectors:
Au  0.5000  0.5000  0.5000  8 Ac 3.37
Au  0.5000  0.5000  0.2954  8 Ac 3.37-3.38
Au  0.5000  0.5000  0.9138  4 Pm 3.20, 1 Au 3.36, 4 Ac 3.44
Au  0.5000  0.5000  0.0862  4 Pm 3.20, 1 Au 3.36, 4 Ac 3.44
Au  0.5000  0.5000  0.7046  8 Ac 3.37-3.38
Ac  0.0000  0.0000  0.6022  8 Au 3.37-3.38
Ac  0.0000  0.0000  0.8060  8 Au 3.37-3.44
Ac  0.0000  0.0000  0.3978  8 Au 3.37-3.38
Ac  0.0000  0.0000  0.1940  8 Au 3.37-3.44
Pm  0.0000  0.0000  0.0000  8 Au 3.20

Computed properties:
E_form in eV/atom: -0.77
SG: No. 123
M_tot in μB per formula unit: 0.000
DOS(E_F) in states/eV/f.u.: 6.057

3.
Y5TlIr2 | GGA-PBE | relaxed

a b c (Å): 7.8096 7.8096 8.7696
angles (deg): 116.44 116.44 90.00
With the nearest neighbours (Å) after each atom.
Sites, in units of the cell vectors:
Y  0.9734  0.4734  0.2658  3 Ir 2.87-2.96
Y  0.4734  0.2924  0.2658  3 Ir 2.87-2.96
Y  0.0000  0.0000  0.0000  4 Ir 3.02
Y  0.0266  0.5266  0.7342  3 Ir 2.87-2.96
Y  0.5266  0.7076  0.7342  3 Ir 2.87-2.96
Y  0.7924  0.9734  0.2658  3 Ir 2.87-2.96
Y  0.5000  0.5000  0.0000  4 Ir 3.02
Y  0.7076  0.2076  0.7342  3 Ir 2.87-2.96
Y  0.2076  0.0266  0.7342  3 Ir 2.87-2.96
Y  0.2924  0.7924  0.2658  3 Ir 2.87-2.96
Ir  0.6394  0.1394  0.0000  8 Y 2.87-3.02, 1 Ir 3.08
Ir  0.8606  0.6394  0.0000  8 Y 2.87-3.02, 1 Ir 3.08
Ir  0.1394  0.3606  0.0000  8 Y 2.87-3.02, 1 Ir 3.08
Ir  0.3606  0.8606  0.0000  8 Y 2.87-3.02, 1 Ir 3.08
Tl  0.7500  0.7500  0.5000  10 Y 3.34-3.41
Tl  0.2500  0.2500  0.5000  10 Y 3.34-3.41

Computed properties:
E_form in eV/atom: -0.64
SG: No. 140
M_tot in μB per formula unit: 0.000
DOS(E_F) in states/eV/f.u.: 7.576

4.
Nd3Pd2Au3 | GGA-PBE | relaxed

a b c (Å): 4.1119 5.6622 17.2549
angles (deg): 90.00 90.00 111.29
With the nearest neighbours (Å) after each atom.
Sites, in units of the cell vectors:
Nd  0.0671  0.1342  0.8976  3 Pd 3.04-3.09, 7 Au 3.14-3.40
Nd  0.6675  0.3350  0.2500  3 Au 2.94-3.11, 4 Pd 3.06
Nd  0.0671  0.1342  0.6024  3 Pd 3.04-3.09, 7 Au 3.14-3.40
Nd  0.3325  0.6650  0.7500  3 Au 2.94-3.11, 4 Pd 3.06
Nd  0.9329  0.8658  0.3976  3 Pd 3.04-3.09, 7 Au 3.14-3.40
Nd  0.9329  0.8658  0.1024  3 Pd 3.04-3.09, 7 Au 3.14-3.40
Pd  0.2235  0.4471  0.3769  4 Au 2.78-3.02, 5 Nd 3.04-3.09
Pd  0.2235  0.4471  0.1231  4 Au 2.78-3.02, 5 Nd 3.04-3.09
Pd  0.7765  0.5529  0.8769  4 Au 2.78-3.02, 5 Nd 3.04-3.09
Pd  0.7765  0.5529  0.6231  4 Au 2.78-3.02, 5 Nd 3.04-3.09
Au  0.3659  0.7319  0.5290  3 Pd 2.78-3.02, 1 Au 3.00
Au  0.3886  0.7772  0.2500  2 Pd 2.80, 3 Nd 2.94-3.11
Au  0.6114  0.2228  0.7500  2 Pd 2.80, 3 Nd 2.94-3.11
Au  0.6341  0.2681  0.0290  3 Pd 2.78-3.02, 1 Au 3.00
Au  0.3659  0.7319  0.9710  3 Pd 2.78-3.02, 1 Au 3.00
Au  0.6341  0.2681  0.4710  3 Pd 2.78-3.02, 1 Au 3.00

Computed properties:
Distance to the lowest polymorph of the same formula in meV/atom: 0
E_form in eV/atom: -0.81
SG: No. 63
M_tot in μB per formula unit: 0.000
DOS(E_F) in states/eV/f.u.: 3.726